DFT (PBE) results for an optimized crystal structure of LiGdScAg.

Summary:
**Energy of formation from the pure elements**: -0.06 eV/atom

Cell lengths 7.137, 7.137, 7.137 Å; angles 90.00, 90.00, 90.00 degrees
Space group F-43m (No. 216)
Unique sites:
Li  0.000  0.000  0.000 x4
Gd  0.250  0.250  0.250 x4
Sc  0.250  0.250  0.750 x4
Ag  0.000  0.000  0.500 x4